1.
## PaInPt (GGA-PBE)

Data for PaInPt after structural relaxation.

Cell: 6.6724 6.6724 6.6724 Å, 90.00 90.00 90.00°
Closest atoms and distances in Å follow each position.
Space group F-43m (No. 216)
Asymmetric unit:
Pa1 0.0000 0.0000 0.0000 x4  4 Pt 2.89
In1 0.0000 0.0000 0.5000 x4  4 Pt 2.89
Pt1 0.2500 0.2500 0.7500 x4  4 In 2.89, 4 Pa 2.89

Output
ΔE_f   -0.640 eV per atom

=====

2.
## PaInPt2 (GGA-PBE)

Data for PaInPt2 after structural relaxation.

Cell: 3.9956 3.9956 19.8146 Å, 90.00 90.00 120.00°
Closest atoms and distances in Å follow each position.
Space group R3m (No. 160, hexagonal axes)
Asymmetric unit:
Pa1 0.0000 0.0000 0.0000 x3  6 Pt 2.82-2.84
In1 0.0000 0.0000 0.1708 x3  6 Pt 2.80-2.88
Pt1 0.0000 0.0000 0.4173 x3  3 Pa 2.84, 3 In 2.88
Pt2 0.0000 0.0000 0.5844 x3  3 In 2.80, 3 Pa 2.82

Output
ΔE_f   -0.742 eV per atom

=====

3.
## PaInPt2 (GGA-PBE)

Data for PaInPt2 after structural relaxation.

Cell: 6.8800 6.8800 6.8800 Å, 90.00 90.00 90.00°
Closest atoms and distances in Å follow each position.
Space group Fm-3m (No. 225)
Asymmetric unit:
Pa1 0.0000 0.0000 0.0000 x4  8 Pt 2.98
In1 0.0000 0.0000 0.5000 x4  8 Pt 2.98
Pt1 0.2500 0.2500 0.2500 x8  4 In 2.98, 4 Pa 2.98

Output
ΔE_f   -0.794 eV per atom

=====

4.
## Pa2InPt (GGA-PBE)

Data for Pa2InPt after structural relaxation.

Cell: 3.1355 3.1355 33.1511 Å, 90.00 90.00 120.00°
Closest atoms and distances in Å follow each position.
Space group R-3m (No. 166, hexagonal axes)
Asymmetric unit:
Pa1 0.0000 0.0000 0.0816 x6  1 Pt 2.71
In1 0.0000 0.0000 0.5000 x3  6 In 3.14, 6 Pa 3.35
Pt1 0.0000 0.0000 0.0000 x3  2 Pa 2.71

Output
ΔE_f   0.048 eV per atom
ΔE to the lowest computed polymorph   490 meV per atom

=====

- Which of these has the highest ΔE_f?
  Pa2InPt

=====

- The lowest ΔE_f belongs to which entry?
  number 3

=====

- Among the records above, which one has the lowest ΔE_f?
  number 3

=====

- Which formula does entry 4 have?
  Pa2InPt